a.
# MoPt3Br

A geometry-optimized MoPt3Br structure (PBE, Alexandria via LeMat-Bulk).

Cell lengths 4.880, 4.880, 4.880 Å; angles 90.00, 90.00, 90.00 degrees
Fractional coordinates of all 5 atoms:
Mo 0.000 0.000 0.000
Pt 0.000 0.000 0.500
Pt 0.000 0.500 0.000
Pt 0.500 0.000 0.000
Br 0.500 0.500 0.500

## Properties
spin magnetization: 0.00 μB per atom
mass density: 10.87 g/cm3

b.
# MoPt3Br

A geometry-optimized MoPt3Br structure (PBE, Alexandria via LeMat-Bulk).

Cell lengths 4.721, 4.721, 4.721 Å; angles 90.00, 90.00, 90.00 degrees
Fractional coordinates of all 5 atoms:
Mo 0.000 0.000 0.000
Pt 0.000 0.500 0.500
Pt 0.500 0.000 0.500
Pt 0.500 0.500 0.000
Br 0.500 0.500 0.500

## Properties
spin magnetization: 0.82 μB per atom
mass density: 12.01 g/cm3

Relative energies, in kJ/mol of atoms, with the most stable structure set to zero: a 0.0; b 23.3.

a.
# RbMoBr6

A geometry-optimized RbMoBr6 structure (PBE, Alexandria via LeMat-Bulk).

Cell lengths 8.555, 10.300, 6.767 Å; angles 90.00, 107.73, 90.00 degrees
Fractional coordinates of all 16 atoms:
Rb 0.000 0.000 0.000
Rb 0.500 0.500 0.000
Mo 0.000 0.500 0.500
Mo 0.500 0.000 0.500
Br 0.101 0.327 0.772
Br 0.101 0.673 0.772
Br 0.226 0.000 0.566
Br 0.274 0.500 0.434
Br 0.399 0.173 0.228
Br 0.399 0.827 0.228
Br 0.601 0.173 0.772
Br 0.601 0.827 0.772
Br 0.726 0.500 0.566
Br 0.774 0.000 0.434
Br 0.899 0.327 0.228
Br 0.899 0.673 0.228

## Properties
spin magnetization: 0.13 μB per atom
mass density: 3.86 g/cm3

b.
# RbMoBr6

A geometry-optimized RbMoBr6 structure (PBE, Alexandria via LeMat-Bulk).

Cell lengths 7.060, 7.060, 12.310 Å; angles 95.11, 95.11, 81.47 degrees
Fractional coordinates of all 16 atoms:
Rb 0.001 0.999 0.750
Rb 0.999 0.001 0.250
Mo 0.000 0.500 0.000
Mo 0.500 0.000 0.500
Br 0.101 0.500 0.807
Br 0.170 0.193 0.515
Br 0.193 0.170 0.015
Br 0.289 0.647 0.074
Br 0.353 0.711 0.426
Br 0.500 0.101 0.307
Br 0.500 0.899 0.693
Br 0.647 0.289 0.574
Br 0.711 0.353 0.926
Br 0.807 0.830 0.985
Br 0.830 0.807 0.485
Br 0.899 0.500 0.193

## Properties
spin magnetization: 0.13 μB per atom
mass density: 3.64 g/cm3

Relative energies, in kJ/mol of atoms, with the most stable structure set to zero: a 1.6; b 0.0.

a.
# Rb3MoBr6

A geometry-optimized Rb3MoBr6 structure (PBE, Alexandria via LeMat-Bulk).

Cell lengths 9.401, 9.401, 9.401 Å; angles 90.47, 90.47, 90.47 degrees
Fractional coordinates of all 20 atoms:
Rb 0.066 0.574 0.744
Rb 0.256 0.934 0.426
Rb 0.426 0.256 0.934
Rb 0.574 0.744 0.066
Rb 0.744 0.066 0.574
Rb 0.934 0.426 0.256
Mo 0.000 0.000 0.000
Mo 0.500 0.500 0.500
Br 0.049 0.940 0.731
Br 0.060 0.269 0.951
Br 0.240 0.563 0.416
Br 0.269 0.951 0.060
Br 0.416 0.240 0.563
Br 0.437 0.584 0.760
Br 0.563 0.416 0.240
Br 0.584 0.760 0.437
Br 0.731 0.049 0.940
Br 0.760 0.437 0.584
Br 0.940 0.731 0.049
Br 0.951 0.060 0.269

## Properties
spin magnetization: 0.30 μB per atom
mass density: 3.32 g/cm3

b.
# Rb3MoBr6

A geometry-optimized Rb3MoBr6 structure (PBE, Alexandria via LeMat-Bulk).

Cell lengths 7.992, 8.347, 13.832 Å; angles 90.00, 123.77, 90.00 degrees
Fractional coordinates of all 20 atoms:
Rb 0.000 0.000 0.000
Rb 0.000 0.500 0.500
Rb 0.282 0.077 0.757
Rb 0.282 0.423 0.257
Rb 0.718 0.577 0.743
Rb 0.718 0.923 0.243
Mo 0.500 0.000 0.500
Mo 0.500 0.500 0.000
Br 0.182 0.025 0.286
Br 0.182 0.475 0.786
Br 0.287 0.668 0.055
Br 0.287 0.832 0.555
Br 0.397 0.233 0.055
Br 0.397 0.267 0.555
Br 0.603 0.733 0.445
Br 0.603 0.767 0.945
Br 0.713 0.168 0.445
Br 0.713 0.332 0.945
Br 0.818 0.525 0.214
Br 0.818 0.975 0.714

## Properties
spin magnetization: 0.30 μB per atom
mass density: 3.60 g/cm3

Relative energies, in kJ/mol of atoms, with the most stable structure set to zero: a 0.5; b 0.0.

a.
# Rb2MoBr

A geometry-optimized Rb2MoBr structure (PBE, Alexandria via LeMat-Bulk).

Cell lengths 8.916, 8.916, 8.916 Å; angles 90.00, 90.00, 90.00 degrees
Fractional coordinates of all 16 atoms:
Rb 0.250 0.250 0.250
Rb 0.250 0.250 0.750
Rb 0.250 0.750 0.250
Rb 0.250 0.750 0.750
Rb 0.750 0.250 0.250
Rb 0.750 0.250 0.750
Rb 0.750 0.750 0.250
Rb 0.750 0.750 0.750
Mo 0.000 0.000 0.000
Mo 0.000 0.500 0.500
Mo 0.500 0.000 0.500
Mo 0.500 0.500 0.000
Br 0.000 0.000 0.500
Br 0.000 0.500 0.000
Br 0.500 0.000 0.000
Br 0.500 0.500 0.500

## Properties
spin magnetization: 1.25 μB per atom
mass density: 3.25 g/cm3

b.
# Rb2MoBr

A geometry-optimized Rb2MoBr structure (PBE, Alexandria via LeMat-Bulk).

Cell lengths 12.888, 12.888, 5.441 Å; angles 90.00, 90.00, 90.00 degrees
Fractional coordinates of all 16 atoms:
Rb 0.089 0.250 0.125
Rb 0.250 0.589 0.375
Rb 0.250 0.911 0.875
Rb 0.411 0.250 0.625
Rb 0.589 0.750 0.625
Rb 0.750 0.089 0.875
Rb 0.750 0.411 0.375
Rb 0.911 0.750 0.125
Mo 0.000 0.000 0.500
Mo 0.000 0.500 0.750
Mo 0.500 0.000 0.250
Mo 0.500 0.500 0.000
Br 0.000 0.000 0.000
Br 0.000 0.500 0.250
Br 0.500 0.000 0.750
Br 0.500 0.500 0.500

## Properties
spin magnetization: 1.11 μB per atom
mass density: 2.55 g/cm3

Relative energies, in kJ/mol of atoms, with the most stable structure set to zero: a 0.0; b 3.5.

a.
# RbMoSe2Br

A geometry-optimized RbMoSe2Br structure (PBE, Alexandria via LeMat-Bulk).

Cell lengths 6.065, 6.065, 6.036 Å; angles 90.00, 90.00, 90.00 degrees
Fractional coordinates of all 5 atoms:
Rb 0.000 0.000 0.000
Mo 0.500 0.500 0.500
Se 0.000 0.500 0.000
Se 0.500 0.000 0.000
Br 0.000 0.000 0.500

## Properties
spin magnetization: 0.40 μB per atom
mass density: 3.14 g/cm3

b.
# RbMoSe2Br

A geometry-optimized RbMoSe2Br structure (PBE, Alexandria via LeMat-Bulk).

Cell lengths 4.950, 4.950, 5.667 Å; angles 90.00, 90.00, 90.00 degrees
Fractional coordinates of all 5 atoms:
Rb 0.000 0.000 0.000
Mo 0.500 0.500 0.500
Se 0.000 0.500 0.500
Se 0.500 0.000 0.500
Br 0.500 0.500 0.000

## Properties
spin magnetization: 0.15 μB per atom
mass density: 5.01 g/cm3

Relative energies, in kJ/mol of atoms, with the most stable structure set to zero: a 178.2; b 0.0.

a.
# RbMoSeBr2

A geometry-optimized RbMoSeBr2 structure (PBE, Alexandria via LeMat-Bulk).

Cell lengths 5.557, 5.557, 4.917 Å; angles 90.00, 90.00, 90.00 degrees
Fractional coordinates of all 5 atoms:
Rb 0.000 0.000 0.000
Mo 0.500 0.500 0.500
Se 0.500 0.500 0.000
Br 0.000 0.500 0.500
Br 0.500 0.000 0.500

## Properties
spin magnetization: 0.54 μB per atom
mass density: 4.60 g/cm3

b.
# RbMoSeBr2

A geometry-optimized RbMoSeBr2 structure (PBE, Alexandria via LeMat-Bulk).

Cell lengths 6.186, 6.186, 6.100 Å; angles 90.00, 90.00, 90.00 degrees
Fractional coordinates of all 5 atoms:
Rb 0.000 0.000 0.000
Mo 0.500 0.500 0.500
Se 0.000 0.000 0.500
Br 0.000 0.500 0.000
Br 0.500 0.000 0.000

## Properties
spin magnetization: 0.59 μB per atom
mass density: 2.99 g/cm3

Relative energies, in kJ/mol of atoms, with the most stable structure set to zero: a 0.0; b 149.6.

a.
# Re2MoBr

A geometry-optimized Re2MoBr structure (PBE, Alexandria via LeMat-Bulk).

Cell lengths 3.085, 3.085, 6.876 Å; angles 90.00, 90.00, 90.00 degrees
Fractional coordinates of all 4 atoms:
Re 0.000 0.000 0.227
Re 0.000 0.000 0.773
Mo 0.500 0.500 0.000
Br 0.500 0.500 0.500

## Properties
spin magnetization: 0.00 μB per atom
mass density: 13.91 g/cm3

b.
# Re2MoBr

A geometry-optimized Re2MoBr structure (PBE, Alexandria via LeMat-Bulk).

Cell lengths 3.016, 3.016, 7.049 Å; angles 90.00, 90.00, 90.00 degrees
Fractional coordinates of all 4 atoms:
Re 0.000 0.000 0.000
Re 0.500 0.500 0.222
Mo 0.500 0.500 0.746
Br 0.000 0.000 0.504

## Properties
spin magnetization: 0.00 μB per atom
mass density: 14.20 g/cm3

Relative energies, in kJ/mol of atoms, with the most stable structure set to zero: a 18.2; b 0.0.

a.
# Re2MoBr

A geometry-optimized Re2MoBr structure (PBE, Alexandria via LeMat-Bulk).

Cell lengths 2.937, 2.937, 26.083 Å; angles 90.00, 90.00, 120.00 degrees
Fractional coordinates of all 12 atoms:
Re 0.000 0.000 0.248
Re 0.000 0.000 0.752
Re 0.333 0.667 0.419
Re 0.333 0.667 0.914
Re 0.667 0.333 0.086
Re 0.667 0.333 0.581
Mo 0.000 0.000 0.500
Mo 0.333 0.667 0.167
Mo 0.667 0.333 0.833
Br 0.000 0.000 0.000
Br 0.333 0.667 0.667
Br 0.667 0.333 0.333

## Properties
spin magnetization: 0.00 μB per atom
mass density: 14.01 g/cm3

b.
# Re2MoBr

A geometry-optimized Re2MoBr structure (PBE, Alexandria via LeMat-Bulk).

Cell lengths 3.867, 3.867, 8.583 Å; angles 90.00, 90.00, 90.00 degrees
Fractional coordinates of all 8 atoms:
Re 0.000 0.000 0.000
Re 0.000 0.500 0.250
Re 0.500 0.000 0.750
Re 0.500 0.500 0.500
Mo 0.000 0.000 0.500
Mo 0.500 0.500 0.000
Br 0.000 0.500 0.750
Br 0.500 0.000 0.250

## Properties
spin magnetization: 0.00 μB per atom
mass density: 14.18 g/cm3

c.
# Re2MoBr

A geometry-optimized Re2MoBr structure (PBE, Alexandria via LeMat-Bulk).

Cell lengths 3.015, 4.780, 9.372 Å; angles 90.00, 90.00, 90.00 degrees
Fractional coordinates of all 8 atoms:
Re 0.000 0.000 0.000
Re 0.000 0.500 0.227
Re 0.500 0.000 0.227
Re 0.500 0.500 0.000
Mo 0.000 0.500 0.765
Mo 0.500 0.000 0.765
Br 0.000 0.000 0.516
Br 0.500 0.500 0.516

## Properties
spin magnetization: 0.00 μB per atom
mass density: 13.48 g/cm3

d.
# Re2MoBr

A geometry-optimized Re2MoBr structure (PBE, Alexandria via LeMat-Bulk).

Cell lengths 2.952, 4.626, 4.634 Å; angles 90.00, 90.00, 90.00 degrees
Fractional coordinates of all 4 atoms:
Re 0.000 0.000 0.000
Re 0.500 0.500 0.000
Mo 0.000 0.500 0.500
Br 0.500 0.000 0.500

## Properties
spin magnetization: 0.00 μB per atom
mass density: 14.39 g/cm3

Relative energies, in kJ/mol of atoms, with the most stable structure set to zero: a 0.0; b 63.6; c 14.6; d 29.0.

a.
# ReMo2Br

A geometry-optimized ReMo2Br structure (PBE, Alexandria via LeMat-Bulk).

Cell lengths 3.008, 3.042, 7.803 Å; angles 90.00, 90.00, 90.00 degrees
Fractional coordinates of all 4 atoms:
Re 0.000 0.000 0.000
Mo 0.500 0.500 0.210
Mo 0.500 0.500 0.790
Br 0.000 0.500 0.500

## Properties
spin magnetization: 0.00 μB per atom
mass density: 10.65 g/cm3

b.
# ReMo2Br

A geometry-optimized ReMo2Br structure (PBE, Alexandria via LeMat-Bulk).

Cell lengths 3.037, 4.597, 4.599 Å; angles 90.00, 90.00, 90.00 degrees
Fractional coordinates of all 4 atoms:
Re 0.000 0.000 0.000
Mo 0.000 0.500 0.500
Mo 0.500 0.500 0.000
Br 0.500 0.000 0.500

## Properties
spin magnetization: 0.00 μB per atom
mass density: 11.85 g/cm3

Relative energies, in kJ/mol of atoms, with the most stable structure set to zero: a 0.0; b 49.0.

a.
# ReMo2Br

A geometry-optimized ReMo2Br structure (PBE, Alexandria via LeMat-Bulk).

Cell lengths 4.518, 2.975, 5.239 Å; angles 90.00, 106.95, 90.00 degrees
Fractional coordinates of all 4 atoms:
Re 0.000 0.000 0.000
Mo 0.000 0.000 0.500
Mo 0.500 0.500 0.000
Br 0.500 0.500 0.500

## Properties
spin magnetization: 0.00 μB per atom
mass density: 11.29 g/cm3

b.
# ReMo2Br

A geometry-optimized ReMo2Br structure (PBE, Alexandria via LeMat-Bulk).

Cell lengths 3.067, 3.067, 7.034 Å; angles 90.00, 90.00, 90.00 degrees
Fractional coordinates of all 4 atoms:
Re 0.000 0.000 0.000
Mo 0.000 0.000 0.538
Mo 0.500 0.500 0.787
Br 0.500 0.500 0.292

## Properties
spin magnetization: 0.00 μB per atom
mass density: 11.49 g/cm3

c.
# ReMo2Br

A geometry-optimized ReMo2Br structure (PBE, Alexandria via LeMat-Bulk).

Cell lengths 3.146, 4.789, 9.138 Å; angles 90.00, 90.00, 90.00 degrees
Fractional coordinates of all 8 atoms:
Re 0.000 0.000 0.000
Re 0.500 0.500 0.000
Mo 0.000 0.000 0.459
Mo 0.000 0.500 0.223
Mo 0.500 0.000 0.223
Mo 0.500 0.500 0.459
Br 0.000 0.500 0.706
Br 0.500 0.000 0.706

## Properties
spin magnetization: 0.00 μB per atom
mass density: 11.05 g/cm3

d.
# ReMo2Br

A geometry-optimized ReMo2Br structure (PBE, Alexandria via LeMat-Bulk).

Cell lengths 2.992, 4.566, 9.346 Å; angles 90.00, 90.00, 90.00 degrees
Fractional coordinates of all 8 atoms:
Re 0.000 0.000 0.000
Re 0.500 0.500 0.500
Mo 0.000 0.000 0.471
Mo 0.000 0.500 0.255
Mo 0.500 0.000 0.755
Mo 0.500 0.500 0.971
Br 0.000 0.500 0.741
Br 0.500 0.000 0.241

## Properties
spin magnetization: 0.00 μB per atom
mass density: 11.91 g/cm3

Relative energies, in kJ/mol of atoms, with the most stable structure set to zero: a 36.8; b 0.0; c 9.5; d 16.2.

a.
# ReMo2Br

A geometry-optimized ReMo2Br structure (PBE, Alexandria via LeMat-Bulk).

Cell lengths 6.376, 6.376, 6.376 Å; angles 90.00, 90.00, 90.00 degrees
Fractional coordinates of all 16 atoms:
Re 0.000 0.000 0.000
Re 0.000 0.500 0.500
Re 0.500 0.000 0.500
Re 0.500 0.500 0.000
Mo 0.000 0.000 0.500
Mo 0.000 0.500 0.000
Mo 0.250 0.250 0.250
Mo 0.250 0.750 0.750
Mo 0.500 0.000 0.000
Mo 0.500 0.500 0.500
Mo 0.750 0.250 0.750
Mo 0.750 0.750 0.250
Br 0.250 0.250 0.750
Br 0.250 0.750 0.250
Br 0.750 0.250 0.250
Br 0.750 0.750 0.750

## Properties
spin magnetization: 0.00 μB per atom
mass density: 11.73 g/cm3

b.
# ReMo2Br

A geometry-optimized ReMo2Br structure (PBE, Alexandria via LeMat-Bulk).

Cell lengths 3.792, 3.792, 9.075 Å; angles 90.00, 90.00, 90.00 degrees
Fractional coordinates of all 8 atoms:
Re 0.000 0.000 0.000
Re 0.500 0.500 0.500
Mo 0.000 0.000 0.500
Mo 0.000 0.500 0.250
Mo 0.500 0.000 0.750
Mo 0.500 0.500 0.000
Br 0.000 0.500 0.750
Br 0.500 0.000 0.250

## Properties
spin magnetization: 0.00 μB per atom
mass density: 11.65 g/cm3

Relative energies, in kJ/mol of atoms, with the most stable structure set to zero: a 0.0; b 2.8.